SiMoRh2 | SCAN | PBEsol geometry

Computed properties:
- Magnetic moment: 0.0 μB per cell
- E_form (uncorrected): -55.3 kJ per mole of atoms
- Symmetry: P4/mmm, No. 123

Structure (CIF):
```
data_SiMoRh2
_chemical_formula_sum 'Si1 Mo1 Rh2'
_space_group_name_H-M_alt 'P 1'
_space_group_IT_number 1
_cell_length_a 2.7742
_cell_length_b 2.7742
_cell_length_c 6.9421
_cell_angle_alpha 90.00
_cell_angle_beta 90.00
_cell_angle_gamma 90.00
loop_
_space_group_symop_operation_xyz
'x,y,z'
loop_
_atom_site_label
_atom_site_type_symbol
_atom_site_fract_x
_atom_site_fract_y
_atom_site_fract_z
Rh1 Rh 0.0000 0.0000 0.7894
Rh2 Rh 0.0000 0.0000 0.2106
Mo1 Mo 0.5000 0.5000 0.5000
Si1 Si 0.5000 0.5000 0.0000
```

=====

SiMoRh2 | SCAN | PBEsol geometry

Computed properties:
- Magnetic moment: 0.0 μB per cell
- E_form (uncorrected): -16.0 kJ per mole of atoms
- Symmetry: P4/mmm, No. 123

Structure (CIF):
```
data_SiMoRh2
_chemical_formula_sum 'Si1 Mo1 Rh2'
_space_group_name_H-M_alt 'P 1'
_space_group_IT_number 1
_cell_length_a 2.7171
_cell_length_b 4.5063
_cell_length_c 4.5063
_cell_angle_alpha 90.00
_cell_angle_beta 90.00
_cell_angle_gamma 90.00
loop_
_space_group_symop_operation_xyz
'x,y,z'
loop_
_atom_site_label
_atom_site_type_symbol
_atom_site_fract_x
_atom_site_fract_y
_atom_site_fract_z
Rh1 Rh 0.0000 0.0000 0.5000
Rh2 Rh 0.0000 0.5000 0.0000
Si1 Si 0.5000 0.5000 0.5000
Mo1 Mo 0.5000 0.0000 0.0000
```

=====

SrMo2Rh | SCAN | PBEsol geometry

Computed properties:
- Magnetic moment: 0.0 μB per cell
- Symmetry: P4/mmm, No. 123
- Distance to the lowest polymorph of the same formula: 200 meV/atom
- DFT formation energy: 653 meV/atom

Structure (CIF):
```
data_SrMo2Rh
_chemical_formula_sum 'Sr1 Mo2 Rh1'
_space_group_name_H-M_alt 'P 1'
_space_group_IT_number 1
_cell_length_a 3.3487
_cell_length_b 3.3487
_cell_length_c 7.3119
_cell_angle_alpha 90.00
_cell_angle_beta 90.00
_cell_angle_gamma 90.00
loop_
_space_group_symop_operation_xyz
'x,y,z'
loop_
_atom_site_label
_atom_site_type_symbol
_atom_site_fract_x
_atom_site_fract_y
_atom_site_fract_z
Mo1 Mo 0.0000 0.0000 0.1574
Mo2 Mo 0.0000 0.0000 0.8426
Rh1 Rh 0.5000 0.5000 0.0000
Sr1 Sr 0.5000 0.5000 0.5000
```

=====

SrMo2Rh | SCAN | PBEsol geometry

Computed properties:
- Magnetic moment: 0.0 μB per cell
- Symmetry: C2/m, No. 12
- Distance to the lowest polymorph of the same formula: 0 meV/atom
- DFT formation energy: 452 meV/atom

Structure (CIF):
```
data_SrMo2Rh
_chemical_formula_sum 'Sr1 Mo2 Rh1'
_space_group_name_H-M_alt 'P 1'
_space_group_IT_number 1
_cell_length_a 3.1018
_cell_length_b 5.2377
_cell_length_c 5.3393
_cell_angle_alpha 102.14
_cell_angle_beta 106.89
_cell_angle_gamma 90.00
loop_
_space_group_symop_operation_xyz
'x,y,z'
loop_
_atom_site_label
_atom_site_type_symbol
_atom_site_fract_x
_atom_site_fract_y
_atom_site_fract_z
Rh1 Rh 0.5000 0.0000 0.0000
Mo1 Mo 0.2156 0.1435 0.4312
Mo2 Mo 0.7844 0.8565 0.5688
Sr1 Sr 0.0000 0.5000 0.0000
```

=====

SrMo2Rh | SCAN | PBEsol geometry

Computed properties:
- Magnetic moment: 0.0 μB per cell
- Symmetry: R-3m, No. 166
- Distance to the lowest polymorph of the same formula: 448 meV/atom
- DFT formation energy: 900 meV/atom

Structure (CIF):
```
data_SrMo2Rh
_chemical_formula_sum 'Sr1 Mo2 Rh1'
_space_group_name_H-M_alt 'P 1'
_space_group_IT_number 1
_cell_length_a 2.8350
_cell_length_b 2.8350
_cell_length_c 10.2601
_cell_angle_alpha 82.06
_cell_angle_beta 82.06
_cell_angle_gamma 60.00
loop_
_space_group_symop_operation_xyz
'x,y,z'
loop_
_atom_site_label
_atom_site_type_symbol
_atom_site_fract_x
_atom_site_fract_y
_atom_site_fract_z
Mo1 Mo 0.2373 0.2373 0.2882
Mo2 Mo 0.7627 0.7627 0.7118
Rh1 Rh 0.5000 0.5000 0.5000
Sr1 Sr 0.0000 0.0000 0.0000
```

=====

SrMo2Rh | SCAN | PBEsol geometry

Computed properties:
- Magnetic moment: 0.0 μB per cell
- Symmetry: P4/mmm, No. 123
- Distance to the lowest polymorph of the same formula: 430 meV/atom
- DFT formation energy: 883 meV/atom

Structure (CIF):
```
data_SrMo2Rh
_chemical_formula_sum 'Sr1 Mo2 Rh1'
_space_group_name_H-M_alt 'P 1'
_space_group_IT_number 1
_cell_length_a 3.7860
_cell_length_b 3.7860
_cell_length_c 5.0798
_cell_angle_alpha 90.00
_cell_angle_beta 90.00
_cell_angle_gamma 90.00
loop_
_space_group_symop_operation_xyz
'x,y,z'
loop_
_atom_site_label
_atom_site_type_symbol
_atom_site_fract_x
_atom_site_fract_y
_atom_site_fract_z
Mo1 Mo 0.0000 0.5000 0.0000
Mo2 Mo 0.5000 0.0000 0.0000
Sr1 Sr 0.0000 0.0000 0.5000
Rh1 Rh 0.5000 0.5000 0.5000
```

=====

Ta2MoRh | SCAN | PBEsol geometry

Computed properties:
- Magnetic moment: 0.0 μB per cell
- Symmetry: Fm-3m, No. 225
- Distance to the lowest polymorph of the same formula: 16 meV/atom
- DFT formation energy: -373 meV/atom

Structure (CIF):
```
data_Ta2MoRh
_chemical_formula_sum 'Ta2 Mo1 Rh1'
_space_group_name_H-M_alt 'P 1'
_space_group_IT_number 1
_cell_length_a 4.4804
_cell_length_b 4.4804
_cell_length_c 4.4804
_cell_angle_alpha 60.00
_cell_angle_beta 60.00
_cell_angle_gamma 60.00
loop_
_space_group_symop_operation_xyz
'x,y,z'
loop_
_atom_site_label
_atom_site_type_symbol
_atom_site_fract_x
_atom_site_fract_y
_atom_site_fract_z
Ta1 Ta 0.2500 0.2500 0.2500
Ta2 Ta 0.7500 0.7500 0.7500
Mo1 Mo 0.5000 0.5000 0.5000
Rh1 Rh 0.0000 0.0000 0.0000
```

=====

TaMoRh2 | SCAN | PBEsol geometry

Computed properties:
- Magnetic moment: 0.0 μB per cell
- Symmetry: P4/mmm, No. 123
- DFT formation energy: -401 meV/atom

Structure (CIF):
```
data_TaMoRh2
_chemical_formula_sum 'Ta1 Mo1 Rh2'
_space_group_name_H-M_alt 'P 1'
_space_group_IT_number 1
_cell_length_a 3.8617
_cell_length_b 3.9100
_cell_length_c 3.9100
_cell_angle_alpha 90.00
_cell_angle_beta 90.00
_cell_angle_gamma 90.00
loop_
_space_group_symop_operation_xyz
'x,y,z'
loop_
_atom_site_label
_atom_site_type_symbol
_atom_site_fract_x
_atom_site_fract_y
_atom_site_fract_z
Mo1 Mo 0.5000 0.0000 0.0000
Rh1 Rh 0.0000 0.5000 0.0000
Rh2 Rh 0.0000 0.0000 0.5000
Ta1 Ta 0.5000 0.5000 0.5000
```

=====

- Which formula does entry 6 have?
  SrMo2Rh

=====

- Number 6 is which compound?
  SrMo2Rh

=====

- Look up the magnetic moment of the fourth one.
  0.0 μB per cell